Entry 1:
Material: ScMnPb
Method: DFT, PBE
State: optimized geometry

Unit cell a=4.6822 b=4.6822 c=3.3654 alpha=90.00 beta=90.00 gamma=120.00
Space group P-6m2 (No. 187)
Asymmetric unit:
1 Sc 0.0000 0.0000 0.0000 [1 per cell]
2 Mn 0.6667 0.3333 0.5000 [1 per cell]
3 Pb 0.3333 0.6667 0.5000 [1 per cell]

Computed properties:
- distance to the lowest polymorph of the same formula (kJ/mol of formula units) = 6
- spin magnetization (μB per formula unit) = 3.3
- D(E_F) (states/eV/cell) = 3.62

---

Entry 2:
Material: ScMnPb2
Method: DFT, PBE
State: optimized geometry

Unit cell a=7.8595 b=7.8595 c=6.2975 alpha=90.00 beta=90.00 gamma=90.00
Space group I-42d (No. 122)
Asymmetric unit:
1 Sc 0.0000 0.0000 0.0000 [4 per cell]
2 Mn 0.0000 0.0000 0.5000 [4 per cell]
3 Pb 0.2228 0.7500 0.6250 [8 per cell]

Computed properties:
- spin magnetization (μB per formula unit) = 3.1
- D(E_F) (states/eV/cell) = 14.62

---

Entry 3:
Material: ScMnPb
Method: DFT, PBE
State: optimized geometry

Unit cell a=6.5289 b=6.5289 c=6.5289 alpha=90.00 beta=90.00 gamma=90.00
Space group F-43m (No. 216)
Asymmetric unit:
1 Sc 0.0000 0.0000 0.0000 [4 per cell]
2 Mn 0.2500 0.2500 0.2500 [4 per cell]
3 Pb 0.0000 0.0000 0.5000 [4 per cell]

Computed properties:
- distance to the lowest polymorph of the same formula (kJ/mol of formula units) = 36
- spin magnetization (μB per formula unit) = 3.8
- D(E_F) (states/eV/cell) = 17.20

---

Entry 4:
Material: ScMn3Pb
Method: DFT, PBE
State: optimized geometry

Unit cell a=4.7873 b=4.7873 c=4.7873 alpha=90.00 beta=90.00 gamma=90.00
Space group Pm-3m (No. 221)
Asymmetric unit:
1 Sc 0.0000 0.0000 0.0000 [1 per cell]
2 Mn 0.0000 0.0000 0.5000 [3 per cell]
3 Pb 0.5000 0.5000 0.5000 [1 per cell]

Computed properties:
- distance to the lowest polymorph of the same formula (kJ/mol of formula units) = 0
- spin magnetization (μB per formula unit) = 9.8
- D(E_F) (states/eV/cell) = 4.43

---

Entry 5:
Material: Sc3MnPb
Method: DFT, PBE
State: optimized geometry

Unit cell a=4.8550 b=4.8550 c=4.8550 alpha=90.00 beta=90.00 gamma=90.00
Space group Pm-3m (No. 221)
Asymmetric unit:
1 Sc 0.0000 0.0000 0.5000 [3 per cell]
2 Mn 0.0000 0.0000 0.0000 [1 per cell]
3 Pb 0.5000 0.5000 0.5000 [1 per cell]

Computed properties:
- distance to the lowest polymorph of the same formula (kJ/mol of formula units) = 0
- spin magnetization (μB per formula unit) = 0.0
- D(E_F) (states/eV/cell) = 2.78

---

Entry 6:
Material: ScMnPb2
Method: DFT, PBE
State: optimized geometry

Unit cell a=3.5285 b=4.2466 c=6.3363 alpha=90.00 beta=90.00 gamma=90.00
Space group Pmm2 (No. 25)
Asymmetric unit:
1 Sc 0.0000 0.0000 0.0000 [1 per cell]
2 Mn 0.5000 0.5000 0.2272 [1 per cell]
3 Pb 0.0000 0.0000 0.4628 [1 per cell]
4 Pb 0.5000 0.5000 0.7663 [1 per cell]

Computed properties:
- spin magnetization (μB per formula unit) = 3.5
- D(E_F) (states/eV/cell) = 3.33

---

Entry 7:
Material: ScMnPb2
Method: DFT, PBE
State: optimized geometry

Unit cell a=3.2983 b=3.2983 c=31.8697 alpha=90.00 beta=90.00 gamma=120.00
Space group R3m (No. 160, hexagonal axes)
Asymmetric unit:
1 Sc 0.0000 0.0000 0.0000 [3 per cell]
2 Mn 0.0000 0.0000 0.2682 [3 per cell]
3 Pb 0.0000 0.0000 0.5252 [3 per cell]
4 Pb 0.0000 0.0000 0.7538 [3 per cell]

Computed properties:
- spin magnetization (μB per formula unit) = 3.0
- D(E_F) (states/eV/cell) = 7.95

---

Entry 8:
Material: ScMn2Pb
Method: DFT, PBE
State: optimized geometry

Unit cell a=4.2971 b=4.2971 c=4.0447 alpha=90.00 beta=90.00 gamma=90.00
Space group P4/mmm (No. 123)
Asymmetric unit:
1 Sc 0.0000 0.0000 0.0000 [1 per cell]
2 Mn 0.0000 0.5000 0.5000 [2 per cell]
3 Pb 0.5000 0.5000 0.0000 [1 per cell]

Computed properties:
- spin magnetization (μB per formula unit) = 6.2
- D(E_F) (states/eV/cell) = 4.81

---

Entry 9:
Material: ScMnPb2
Method: DFT, PBE
State: optimized geometry

Unit cell a=3.4091 b=4.4570 c=6.2920 alpha=90.00 beta=99.38 gamma=90.00
Space group P2/m (No. 10)
Asymmetric unit:
1 Sc 0.0000 0.0000 0.0000 [1 per cell]
2 Mn 0.5000 0.0000 0.5000 [1 per cell]
3 Pb 0.3190 0.5000 0.7431 [2 per cell]

Computed properties:
- spin magnetization (μB per formula unit) = 3.3
- D(E_F) (states/eV/cell) = 3.20

---

Entry 10:
Material: ScMnPb2
Method: DFT, PBE
State: optimized geometry

Unit cell a=3.3368 b=4.1822 c=6.6711 alpha=90.00 beta=90.00 gamma=90.00
Space group Pmmm (No. 47)
Asymmetric unit:
1 Sc 0.0000 0.0000 0.0000 [1 per cell]
2 Mn 0.0000 0.0000 0.5000 [1 per cell]
3 Pb 0.5000 0.5000 0.2594 [2 per cell]

Computed properties:
- spin magnetization (μB per formula unit) = 4.3
- D(E_F) (states/eV/cell) = 3.49

---

Entry 11:
Material: ScMn2Pb
Method: DFT, PBE
State: optimized geometry

Unit cell a=3.1778 b=3.1778 c=7.5117 alpha=90.00 beta=90.00 gamma=90.00
Space group P4mm (No. 99)
Asymmetric unit:
1 Sc 0.0000 0.0000 0.0000 [1 per cell]
2 Mn 0.0000 0.0000 0.4030 [1 per cell]
3 Mn 0.5000 0.5000 0.2431 [1 per cell]
4 Pb 0.5000 0.5000 0.6754 [1 per cell]

Computed properties:
- spin magnetization (μB per formula unit) = 1.3
- D(E_F) (states/eV/cell) = 2.80

---

Entry 12:
Material: ScMnPb2
Method: DFT, PBE
State: optimized geometry

Unit cell a=4.2660 b=4.2660 c=10.1458 alpha=90.00 beta=90.00 gamma=90.00
Space group I-4m2 (No. 119)
Asymmetric unit:
1 Sc 0.0000 0.0000 0.0000 [2 per cell]
2 Mn 0.0000 0.5000 0.7500 [2 per cell]
3 Pb 0.0000 0.0000 0.5000 [2 per cell]
4 Pb 0.0000 0.5000 0.2500 [2 per cell]

Computed properties:
- spin magnetization (μB per formula unit) = 3.9
- D(E_F) (states/eV/cell) = 3.84

---

Entry 13:
Material: ScMnPb
Method: DFT, PBE
State: optimized geometry

Unit cell a=6.7782 b=6.7782 c=6.7782 alpha=90.00 beta=90.00 gamma=90.00
Space group F-43m (No. 216)
Asymmetric unit:
1 Sc 0.0000 0.0000 0.0000 [4 per cell]
2 Mn 0.2500 0.2500 0.7500 [4 per cell]
3 Pb 0.2500 0.2500 0.2500 [4 per cell]

Computed properties:
- distance to the lowest polymorph of the same formula (kJ/mol of formula units) = 131
- spin magnetization (μB per formula unit) = 4.4
- D(E_F) (states/eV/cell) = 12.79

---

Entry 14:
Material: ScMnPb4
Method: DFT, PBE
State: optimized geometry

Unit cell a=8.9587 b=8.9587 c=8.9587 alpha=90.00 beta=90.00 gamma=90.00
Space group F-43m (No. 216)
Asymmetric unit:
1 Sc 0.0000 0.0000 0.0000 [4 per cell]
2 Mn 0.2500 0.2500 0.7500 [4 per cell]
3 Pb 0.1253 0.1253 0.3747 [16 per cell]

Computed properties:
- spin magnetization (μB per formula unit) = 4.2
- D(E_F) (states/eV/cell) = 20.24

---

Entry 15:
Material: ScMnPb2
Method: DFT, PBE
State: optimized geometry

Unit cell a=3.3680 b=3.3680 c=8.6723 alpha=90.00 beta=90.00 gamma=90.00
Space group P4mm (No. 99)
Asymmetric unit:
1 Sc 0.0000 0.0000 0.0000 [1 per cell]
2 Mn 0.5000 0.5000 0.1813 [1 per cell]
3 Pb 0.0000 0.0000 0.3936 [1 per cell]
4 Pb 0.5000 0.5000 0.7397 [1 per cell]

Computed properties:
- spin magnetization (μB per formula unit) = 2.8
- D(E_F) (states/eV/cell) = 4.08

---

Entry 16:
Material: ScMn2Pb
Method: DFT, PBE
State: optimized geometry

Unit cell a=4.0916 b=4.1000 c=8.7540 alpha=90.00 beta=90.00 gamma=90.00
Space group Imm2 (No. 44)
Asymmetric unit:
1 Sc 0.0000 0.0000 0.0000 [2 per cell]
2 Mn 0.0000 0.0000 0.4997 [2 per cell]
3 Mn 0.0000 0.5000 0.7505 [2 per cell]
4 Pb 0.0000 0.5000 0.2497 [2 per cell]

Computed properties:
- spin magnetization (μB per formula unit) = 5.8
- D(E_F) (states/eV/cell) = 4.86

---

Entry 17:
Material: Sc6Mn2Pb
Method: DFT, PBE
State: optimized geometry

Unit cell a=9.0059 b=9.0347 c=9.3623 alpha=90.00 beta=90.00 gamma=90.00
Space group Immm (No. 71)
Asymmetric unit:
1 Sc 0.0000 0.2270 0.2347 [8 per cell]
2 Sc 0.2076 0.5000 0.1885 [8 per cell]
3 Sc 0.2104 0.3091 0.5000 [8 per cell]
4 Mn 0.0000 0.3821 0.0000 [4 per cell]
5 Mn 0.0000 0.5000 0.3882 [4 per cell]
6 Pb 0.0000 0.0000 0.0000 [2 per cell]
7 Pb 0.0000 0.0000 0.5000 [2 per cell]

Computed properties:
- spin magnetization (μB per formula unit) = 1.5
- D(E_F) (states/eV/cell) = 33.23

---

Entry 18:
Material: ScMnPb
Method: DFT, PBE
State: optimized geometry

Unit cell a=3.4554 b=3.4554 c=10.4351 alpha=90.00 beta=90.00 gamma=90.00
Space group I4mm (No. 107)
Asymmetric unit:
1 Sc 0.0000 0.0000 0.0000 [2 per cell]
2 Mn 0.0000 0.0000 0.6513 [2 per cell]
3 Pb 0.0000 0.0000 0.3061 [2 per cell]

Computed properties:
- distance to the lowest polymorph of the same formula (kJ/mol of formula units) = 0
- spin magnetization (μB per formula unit) = 2.7
- D(E_F) (states/eV/cell) = 3.92

---

Entry 19:
Material: ScMnPb2
Method: DFT, PBE
State: optimized geometry

Unit cell a=4.2501 b=4.6426 c=4.6591 alpha=90.00 beta=90.00 gamma=90.00
Space group Pmmm (No. 47)
Asymmetric unit:
1 Sc 0.0000 0.0000 0.0000 [1 per cell]
2 Mn 0.0000 0.5000 0.5000 [1 per cell]
3 Pb 0.5000 0.0000 0.5000 [1 per cell]
4 Pb 0.5000 0.5000 0.0000 [1 per cell]

Computed properties:
- spin magnetization (μB per formula unit) = 3.8
- D(E_F) (states/eV/cell) = 3.54

---

Entry 20:
Material: ScMnPb2
Method: DFT, PBE
State: optimized geometry

Unit cell a=7.3439 b=7.3439 c=7.3439 alpha=90.00 beta=90.00 gamma=90.00
Space group F-43m (No. 216)
Asymmetric unit:
1 Sc 0.0000 0.0000 0.0000 [4 per cell]
2 Mn 0.2500 0.2500 0.7500 [4 per cell]
3 Pb 0.0000 0.0000 0.5000 [4 per cell]
4 Pb 0.2500 0.2500 0.2500 [4 per cell]

Computed properties:
- spin magnetization (μB per formula unit) = 3.4
- D(E_F) (states/eV/cell) = 24.15

---

For the records above, the corresponding energy of formation values read 1.21; 4.11; 3.60; 26.79; 1.21; 2.57; 4.49; 3.83; 2.23; 2.71; 2.13; 0.35; 11.19; 11.12; 2.14; 3.23; -3.70; 0.74; 1.11; 7.42 kcal/mol of atoms.